A geometry-optimized Cs3CrF7 structure. Source: Alexandria via LeMat-Bulk, functional PBE with a Hubbard U.

**Total DFT energy (no corrections)**: -52.8 eV/f.u.
**Mass density**: 4.2 g/cm3

Cell: 8.540 8.540 6.365 Å, 90.00 90.00 90.00°
Sites, in units of the cell vectors:
Cs (0.000, 0.000, 0.000)
Cs (0.193, 0.307, 0.500)
Cs (0.307, 0.807, 0.500)
Cs (0.500, 0.500, 0.000)
Cs (0.693, 0.193, 0.500)
Cs (0.807, 0.693, 0.500)
Cr (0.000, 0.500, 0.000)
Cr (0.500, 0.000, 0.000)
F (0.000, 0.000, 0.500)
F (0.109, 0.609, 0.209)
F (0.109, 0.609, 0.791)
F (0.153, 0.347, 0.000)
F (0.347, 0.847, 0.000)
F (0.391, 0.109, 0.209)
F (0.391, 0.109, 0.791)
F (0.500, 0.500, 0.500)
F (0.609, 0.891, 0.209)
F (0.609, 0.891, 0.791)
F (0.653, 0.153, 0.000)
F (0.847, 0.653, 0.000)
F (0.891, 0.391, 0.209)
F (0.891, 0.391, 0.791)